Below is an optimized crystal structure of Ba2NaMnCu, with properties calculated at the PBEsol level.

## Properties
magnetic moment	0.53	μB per atom
calculated formation energy	0.851	eV/atom

abc: 5.839 5.839 5.312
angles: 90.00 90.00 90.00
Fractional positions:
Ba 0.000 0.500 0.000
Ba 0.500 0.000 0.000
Na 0.000 0.000 0.500
Mn 0.000 0.000 0.000
Cu 0.500 0.500 0.500

Below is an optimized crystal structure of Ba2MnCuP4O14, with properties calculated at the PBEsol level.

## Properties
magnetic moment	0.24	μB per atom
energy relative to the elements, uncorrected	-2.308	eV per atom

abc: 5.298 7.374 7.565
angles: 102.59 91.39 95.22
Fractional positions:
Ba 0.000 0.000 0.000
Ba 0.401 0.553 0.861
Mn 0.387 0.399 0.335
Cu 0.015 0.131 0.534
P 0.495 0.964 0.332
P 0.507 0.045 0.720
P 0.895 0.511 0.147
P 0.917 0.592 0.532
O 0.118 0.387 0.136
O 0.120 0.450 0.522
O 0.285 0.169 0.733
O 0.304 0.115 0.340
O 0.418 0.793 0.187
O 0.473 0.901 0.524
O 0.491 0.927 0.862
O 0.639 0.394 0.142
O 0.649 0.493 0.535
O 0.765 0.160 0.731
O 0.768 0.053 0.327
O 0.906 0.623 0.001
O 0.929 0.657 0.340
O 0.979 0.761 0.681

Below is an optimized crystal structure of BaCuMo2, with properties calculated at the PBEsol level.

## Properties
magnetic moment	0.00	μB per atom
calculated formation energy	1.156	eV/atom

abc: 5.894 5.894 3.214
angles: 104.86 104.86 125.28
Fractional positions:
Ba 0.000 0.000 0.000
Cu 0.500 0.500 0.000
Mo 0.000 0.500 0.500
Mo 0.500 0.000 0.500